# 1
Here is Pm2Er12Tm5 after structural relaxation from Alexandria. Energies are from PBE-GGA.

Output
D(E_F) (states/eV/cell): 27.666
ΔE_f (eV/atom): 0.0669
Spin magnetization (μB per atom): 0.00
Offset from the most stable computed form (meV per atom): 0

a = 6.1878 Å, b = 8.7247 Å, c = 11.9735 Å
α = 111.26°, β = 92.01°, γ = 100.14°
Space group P-1 (No. 2)
Asymmetric unit:
Pm 0.2351 0.4379 0.4315 [2 per cell]
Er 0.0461 0.5996 0.1748 [2 per cell]
Er 0.1916 0.0743 0.8342 [2 per cell]
Er 0.2215 0.2354 0.1371 [2 per cell]
Er 0.2753 0.6773 0.7170 [2 per cell]
Er 0.3334 0.0302 0.3248 [2 per cell]
Er 0.4048 0.2826 0.6580 [2 per cell]
Tm 0.1377 0.8506 0.5116 [2 per cell]
Tm 0.2889 0.8384 0.0128 [2 per cell]
Tm 0.5000 0.5000 0.0000 [1 per cell]

# 2
Here is Pm4Er6Tm19 after structural relaxation from Alexandria. Energies are from PBE-GGA.

Output
D(E_F) (states/eV/cell): 88.492
ΔE_f (eV/atom): 0.4004
Spin magnetization (μB per atom): 0.00

a = 12.3569 Å, b = 12.3569 Å, c = 12.3569 Å
α = 90.00°, β = 90.00°, γ = 90.00°
Space group I23 (No. 197)
Asymmetric unit:
Pm 0.1787 0.1787 0.8213 [8 per cell]
Er 0.0000 0.3716 0.5000 [12 per cell]
Tm 0.0000 0.0000 0.0000 [2 per cell]
Tm 0.0000 0.0000 0.2637 [12 per cell]
Tm 0.0633 0.2637 0.2748 [24 per cell]

# 3
Here is PmEr3Tm4 after structural relaxation from Alexandria. Energies are from PBE-GGA.

Output
D(E_F) (states/eV/cell): 11.698
ΔE_f (eV/atom): 0.0261
Spin magnetization (μB per atom): 0.00
Offset from the most stable computed form (meV per atom): 24

a = 3.5217 Å, b = 7.0206 Å, c = 9.9154 Å
α = 90.00°, β = 90.00°, γ = 90.00°
Space group Pmmm (No. 47)
Asymmetric unit:
Pm 0.0000 0.0000 0.0000 [1 per cell]
Er 0.0000 0.0000 0.5000 [1 per cell]
Er 0.0000 0.5000 0.0000 [1 per cell]
Er 0.0000 0.5000 0.5000 [1 per cell]
Tm 0.5000 0.2517 0.2518 [4 per cell]

# 4
Here is Pm2Er3Tm4 after structural relaxation from Alexandria. Energies are from PBE-GGA.

Output
D(E_F) (states/eV/cell): 52.780
ΔE_f (eV/atom): 0.1010
Spin magnetization (μB per atom): 0.00

a = 16.5385 Å, b = 11.5194 Å, c = 5.9283 Å
α = 90.00°, β = 97.10°, γ = 90.00°
Space group C2/c (No. 15)
Asymmetric unit:
Pm 0.1054 0.1130 0.2789 [8 per cell]
Er 0.0000 0.1523 0.7500 [4 per cell]
Er 0.1640 0.3485 0.5870 [8 per cell]
Tm 0.0616 0.3935 0.0446 [8 per cell]
Tm 0.2332 0.1084 0.8724 [8 per cell]